No. 1
Here is MnAg2Br after structural relaxation from Alexandria. Energies are from PBE-GGA.

## Properties
The formation energy (no corrections) is 0.399 eV/atom.

The structure in POSCAR format:
```
MnAg2Br
1.0
-1.894 -1.346 4.747
3.965 -0.942 3.365
-1.042 4.047 -3.236
Ag Br Mn
2 1 1
Cartesian
0.000 0.000 0.000 Ag
1.979 0.981 2.093 Ag
1.036 -1.144 4.056 Br
-0.950 0.779 2.784 Mn
```



No. 2
Here is Dy3Ru after structural relaxation from Alexandria. Energies are from PBE-GGA.

## Properties
As for the energy of formation: -0.26 eV per atom.

The structure in POSCAR format:
```
Dy3Ru
1.0
-2.600 -3.568 4.226
-6.524 -4.678 -3.540
4.003 -7.802 0.299
Dy Ru
12 4
Cartesian
2.361 -7.496 1.657 Dy
0.399 -2.013 0.659 Dy
-7.496 -6.837 0.765 Dy
1.016 -11.074 2.428 Dy
-1.066 -8.467 1.038 Dy
-4.058 -7.581 -0.055 Dy
-3.849 -11.075 1.545 Dy
-1.273 -4.973 -0.561 Dy
-6.743 -12.878 0.862 Dy
0.082 -5.285 2.626 Dy
-4.932 -4.232 -0.384 Dy
1.352 -9.703 -1.135 Dy
0.967 -6.900 -0.806 Ru
-6.087 -9.150 1.792 Ru
-2.542 -9.910 -1.087 Ru
-2.580 -6.138 2.071 Ru
```



No. 3
Here is Sc12Be3Ru5 after structural relaxation from Alexandria. Energies are from PBE-GGA.

## Properties
As for the energy of formation: 0.33 eV per atom.

The structure in POSCAR format:
```
Sc12Be3Ru5
1.0
13.330 0.000 0.000
-4.443 12.568 0.000
-4.443 -6.284 10.884
Be Ru Sc
12 20 48
Cartesian
7.776 3.928 1.361 Be
7.776 8.641 1.361 Be
-1.111 5.499 6.803 Be
1.111 -0.786 4.082 Be
9.998 0.000 2.721 Be
1.111 6.284 2.721 Be
3.333 0.000 8.163 Be
-5.554 6.284 8.163 Be
3.333 7.070 6.803 Be
5.554 0.786 4.082 Be
-3.333 -2.357 9.524 Be
-3.333 2.357 9.524 Be
-1.111 3.142 2.721 Ru
-2.222 6.284 0.000 Ru
0.000 0.000 0.000 Ru
3.333 2.357 1.361 Ru
4.443 -3.142 5.442 Ru
4.443 6.284 0.000 Ru
-3.333 7.070 4.082 Ru
5.554 -3.928 9.524 Ru
5.554 5.499 4.082 Ru
1.111 -3.142 8.163 Ru
3.333 9.426 2.721 Ru
2.222 3.142 5.442 Ru
6.665 0.000 0.000 Ru
-2.222 -3.142 5.442 Ru
-1.111 0.786 6.803 Ru
-1.111 10.212 1.361 Ru
-4.443 3.142 5.442 Ru
7.776 -0.786 6.803 Ru
1.111 3.928 9.524 Ru
5.554 3.142 8.163 Ru
8.800 1.315 0.463 Sc
0.087 4.200 4.535 Sc
9.841 2.920 3.088 Sc
5.712 1.928 1.370 Sc
1.694 4.768 7.334 Sc
9.400 6.239 1.892 Sc
-0.954 7.276 4.458 Sc
-3.490 10.640 1.370 Sc
0.528 7.800 7.334 Sc
6.153 6.329 1.892 Sc
6.752 3.399 4.072 Sc
6.752 11.253 0.463 Sc
-3.916 5.593 5.905 Sc
2.734 4.668 0.984 Sc
-4.530 9.169 4.072 Sc
2.308 -2.084 6.349 Sc
-0.528 0.825 2.354 Sc
2.734 7.944 0.907 Sc
5.712 9.648 3.088 Sc
-0.513 4.624 0.907 Sc
-2.749 7.109 8.530 Sc
3.175 5.292 4.458 Sc
6.138 6.975 5.905 Sc
4.956 -1.616 9.900 Sc
1.268 0.992 6.427 Sc
-1.694 -0.691 4.979 Sc
-0.513 7.900 0.984 Sc
-1.268 -3.364 7.796 Sc
7.193 -0.825 2.354 Sc
4.956 1.660 9.977 Sc
1.709 -1.660 9.977 Sc
2.135 8.368 4.535 Sc
4.971 5.459 8.530 Sc
8.973 -2.885 6.812 Sc
8.359 0.691 4.979 Sc
-2.308 -4.969 10.422 Sc
1.709 1.616 9.900 Sc
3.916 -1.516 3.551 Sc
-1.709 -0.045 8.993 Sc
-2.308 2.885 6.812 Sc
7.933 -4.356 9.514 Sc
5.397 -0.992 6.427 Sc
-1.268 4.356 9.514 Sc
-4.956 0.045 8.993 Sc
2.749 1.516 3.551 Sc
-5.397 3.364 7.796 Sc
4.357 2.084 6.349 Sc
-4.357 4.969 10.422 Sc
```



No. 4
Here is IrOsPt3 after structural relaxation from Alexandria. Energies are from PBE-GGA.

## Properties
As for the energy of formation: 1.90 eV per atom.

The structure in POSCAR format:
```
IrOsPt3
1.0
4.742 0.000 0.000
0.000 4.742 0.000
0.000 0.000 4.742
Ir Os Pt
1 1 3
Cartesian
2.371 2.371 2.371 Ir
0.000 0.000 0.000 Os
0.000 2.371 0.000 Pt
0.000 0.000 2.371 Pt
2.371 0.000 0.000 Pt
```



No. 5
Here is TaBePt2S after structural relaxation from Alexandria. Energies are from PBE-GGA.

## Properties
The formation energy (no corrections) is 0.872 eV/atom.

The structure in POSCAR format:
```
TaBePt2S
1.0
4.974 0.000 0.000
0.000 4.581 0.000
0.000 0.000 4.974
Be S Pt Ta
1 1 2 1
Cartesian
2.487 2.290 2.487 Be
0.000 2.290 0.000 S
0.000 0.000 2.487 Pt
2.487 0.000 0.000 Pt
0.000 0.000 0.000 Ta
```



No. 6
Here is NdThGa2 after structural relaxation from Alexandria. Energies are from PBE-GGA.

## Properties
As for the energy of formation: -0.31 eV per atom.

The structure in POSCAR format:
```
NdThGa2
1.0
-3.789 0.217 0.386
-2.250 -0.295 -3.067
-2.398 -8.739 0.227
Nd Ga Th
1 2 1
Cartesian
0.000 0.000 0.000 Nd
-6.329 -6.631 -1.838 Ga
-2.109 -2.185 -0.616 Ga
-4.219 -4.408 -1.227 Th
```